BaGeSb2H: optimized geometry, PBE.

Lattice parameters (Å, degrees): 6.4457 6.4457 4.2038 90.00 90.00 90.00
Space group P4/mmm (No. 123)
Asymmetric unit:
Ba: 0.0000 0.0000 0.0000 x1
Ge: 0.5000 0.5000 0.5000 x1
Sb: 0.0000 0.5000 0.0000 x2
H: 0.0000 0.0000 0.5000 x1

## Properties
density: 4.321 Mg/m³
E_tot: -2.842 eV per atom


PrY12Er7: optimized geometry, PBE.

Lattice parameters (Å, degrees): 11.3303 11.3303 11.3303 90.00 90.00 90.00
Space group Im-3 (No. 204)
Asymmetric unit:
Pr: 0.0000 0.0000 0.0000 x2
Y: 0.0000 0.2559 0.2548 x24
Er: 0.0000 0.0000 0.5000 x6
Er: 0.2500 0.2500 0.2500 x8

## Properties
ΔE to the lowest computed polymorph: 403 meV/atom
density: 5.431 Mg/m³
E_tot: -5.017 eV per atom
calculated formation energy: 0.697 eV/atom


Sr3CdIn2Hg6: optimized geometry, PBE.

Lattice parameters (Å, degrees): 6.5451 6.5451 9.5812 90.00 90.00 120.00
Space group P-3m1 (No. 164)
Asymmetric unit:
Sr: 0.0000 0.0000 0.0000 x1
Sr: 0.3333 0.6667 0.6103 x2
Cd: 0.0000 0.0000 0.5000 x1
In: 0.3333 0.6667 0.9847 x2
Hg: 0.1774 0.3548 0.2702 x6

## Properties
density: 8.448 Mg/m³
E_tot: -1.387 eV per atom
calculated formation energy: -0.283 eV/atom


Tl2CdP: optimized geometry, PBE.

Lattice parameters (Å, degrees): 4.1298 5.7291 9.1482 90.00 90.00 90.00
Space group Imm2 (No. 44)
Asymmetric unit:
Tl: 0.0000 0.0000 0.0000 x2
Tl: 0.0000 0.5000 0.2030 x2
Cd: 0.0000 0.5000 0.7828 x2
P: 0.0000 0.0000 0.4547 x2

## Properties
ΔE to the lowest computed polymorph: 110 meV/atom
density: 8.472 Mg/m³
E_tot: -2.574 eV per atom
calculated formation energy: 0.190 eV/atom


CaFeBr2: optimized geometry, PBE.

Lattice parameters (Å, degrees): 3.5502 3.5502 8.5898 90.00 90.00 90.00
Space group P4mm (No. 99)
Asymmetric unit:
Ca: 0.0000 0.0000 0.0000 x1
Fe: 0.5000 0.5000 0.2576 x1
Br: 0.0000 0.0000 0.3863 x1
Br: 0.5000 0.5000 0.8114 x1

## Properties
E_form (uncorrected): -0.535 eV per atom
ΔE to the lowest computed polymorph: 67 meV/atom
density: 3.922 Mg/m³
E_tot: -3.987 eV per atom


LiSiRu2: optimized geometry, PBE.

Lattice parameters (Å, degrees): 2.8155 4.0527 4.5770 90.00 90.00 90.00
Space group Pmmm (No. 47)
Asymmetric unit:
Li: 0.0000 0.0000 0.0000 x1
Si: 0.5000 0.0000 0.5000 x1
Ru: 0.0000 0.5000 0.5000 x1
Ru: 0.5000 0.5000 0.0000 x1

## Properties
E_form (uncorrected): -0.048 eV per atom
density: 7.541 Mg/m³
E_tot: -6.521 eV per atom


CdHgSe2: optimized geometry, PBE.

Lattice parameters (Å, degrees): 2.9636 2.9636 38.2216 90.00 90.00 120.00
Space group R-3m (No. 166, hexagonal axes)
Asymmetric unit:
Cd: 0.0000 0.0000 0.0000 x3
Hg: 0.0000 0.0000 0.5000 x3
Se: 0.0000 0.0000 0.0784 x6

## Properties
E_form (uncorrected): 0.186 eV per atom
ΔE to the lowest computed polymorph: 603 meV/atom
density: 8.069 Mg/m³
E_tot: -1.861 eV per atom


Sm8CoGe2: optimized geometry, PBE.

Lattice parameters (Å, degrees): 18.6447 4.5940 7.2320 90.00 99.02 90.00
Space group C2/m (No. 12)
Asymmetric unit:
Sm: 0.0097 0.0000 0.2825 x4
Sm: 0.0964 0.5000 0.0054 x4
Sm: 0.1481 0.5000 0.5117 x4
Sm: 0.2181 0.0000 0.8400 x4
Co: 0.0000 0.5000 0.5000 x2
Ge: 0.1812 0.0000 0.2569 x4

## Properties
density: 7.638 Mg/m³
E_tot: -5.224 eV per atom
calculated formation energy: -0.306 eV/atom


Al2Bi2Te: optimized geometry, PBE.

Lattice parameters (Å, degrees): 9.2572 9.2572 3.2613 90.00 90.00 90.00
Space group P4/mbm (No. 127)
Asymmetric unit:
Al: 0.1061 0.3939 0.0000 x4
Bi: 0.1882 0.6882 0.5000 x4
Te: 0.0000 0.0000 0.5000 x2

## Properties
E_form (uncorrected): 0.228 eV per atom
ΔE to the lowest computed polymorph: 106 meV/atom
density: 7.124 Mg/m³
E_tot: -3.450 eV per atom


Ga2Cu3Ni: optimized geometry, PBE.

Lattice parameters (Å, degrees): 6.5427 7.3167 6.6390 90.00 102.53 90.00
Space group C2/c (No. 15)
Asymmetric unit:
Ga: 0.1291 0.2426 0.1261 x8
Cu: 0.0000 0.4465 0.7500 x4
Cu: 0.2320 0.0846 0.4847 x8
Ni: 0.0000 0.1184 0.7500 x4

## Properties
ΔE to the lowest computed polymorph: 94 meV/atom
density: 8.324 Mg/m³
E_tot: -4.054 eV per atom
calculated formation energy: -0.034 eV/atom


HgPOs2: optimized geometry, PBE.

Lattice parameters (Å, degrees): 6.2520 6.2520 6.2520 90.00 90.00 90.00
Space group Fm-3m (No. 225)
Asymmetric unit:
Hg: 0.0000 0.0000 0.0000 x4
P: 0.0000 0.0000 0.5000 x4
Os: 0.2500 0.2500 0.2500 x8

## Properties
ΔE to the lowest computed polymorph: 635 meV/atom
density: 16.635 Mg/m³
E_tot: -6.116 eV per atom
calculated formation energy: 0.927 eV/atom


CdHS2: optimized geometry, PBE.

Lattice parameters (Å, degrees): 6.4120 6.4120 6.4120 90.00 90.00 90.00
Space group Fm-3m (No. 225)
Asymmetric unit:
Cd: 0.0000 0.0000 0.0000 x4
H: 0.0000 0.0000 0.5000 x4
S: 0.2500 0.2500 0.2500 x8

## Properties
ΔE to the lowest computed polymorph: 805 meV/atom
density: 4.473 Mg/m³
E_tot: -2.359 eV per atom


CuOsCl2: optimized geometry, PBE.

Lattice parameters (Å, degrees): 6.4998 6.4998 6.4998 90.00 90.00 90.00
Space group F-43m (No. 216)
Asymmetric unit:
Cu: 0.0000 0.0000 0.0000 x4
Os: 0.2500 0.2500 0.2500 x4
Cl: 0.0000 0.0000 0.5000 x4
Cl: 0.2500 0.2500 0.7500 x4

## Properties
E_form (uncorrected): 1.328 eV per atom
ΔE to the lowest computed polymorph: 1106 meV/atom
density: 7.854 Mg/m³
E_tot: -3.427 eV per atom


TlCdIn2Te4: optimized geometry, PBE.

Lattice parameters (Å, degrees): 7.0860 7.0860 13.3532 90.00 90.00 90.00
Space group I-42m (No. 121)
Asymmetric unit:
Tl: 0.0000 0.0000 0.0000 x2
Cd: 0.0000 0.0000 0.5000 x2
In: 0.0000 0.5000 0.2500 x4
Te: 0.2230 0.2230 0.6363 x8

## Properties
E_form (uncorrected): -0.251 eV per atom
density: 5.235 Mg/m³
E_tot: -2.917 eV per atom


ScCd2P: optimized geometry, PBE.

Lattice parameters (Å, degrees): 3.5767 3.5767 7.0588 90.00 90.00 90.00
Space group P4mm (No. 99)
Asymmetric unit:
Sc: 0.0000 0.0000 0.0000 x1
Cd: 0.0000 0.0000 0.5413 x1
Cd: 0.5000 0.5000 0.3139 x1
P: 0.5000 0.5000 0.9298 x1

## Properties
density: 5.531 Mg/m³
E_tot: -3.792 eV per atom
calculated formation energy: -0.399 eV/atom


LaNp2Se4: optimized geometry, PBE.

Lattice parameters (Å, degrees): 4.1193 13.5628 13.8640 90.00 90.00 90.00
Space group Cmcm (No. 63)
Asymmetric unit:
La: 0.0000 0.1167 0.2500 x4
Np: 0.0000 0.3666 0.0635 x8
Se: 0.0000 0.0000 0.0000 x4
Se: 0.0000 0.2713 0.6236 x8
Se: 0.0000 0.4560 0.2500 x4

## Properties
E_form (uncorrected): -1.417 eV per atom
density: 7.964 Mg/m³
E_tot: -7.810 eV per atom


Sc3C: optimized geometry, PBE.

Lattice parameters (Å, degrees): 3.3045 3.3045 8.2345 90.00 90.00 120.00
Space group P-6m2 (No. 187)
Asymmetric unit:
Sc: 0.0000 0.0000 0.0000 x1
Sc: 0.6667 0.3333 0.3393 x2
C: 0.0000 0.0000 0.5000 x1

## Properties
ΔE to the lowest computed polymorph: 187 meV/atom
density: 3.132 Mg/m³
E_tot: -7.135 eV per atom
calculated formation energy: -0.081 eV/atom


NbTlI3: optimized geometry, PBE.

Lattice parameters (Å, degrees): 5.8050 5.8050 5.8050 90.00 90.00 90.00
Space group Pm-3m (No. 221)
Asymmetric unit:
Nb: 0.0000 0.0000 0.0000 x1
Tl: 0.5000 0.5000 0.5000 x1
I: 0.0000 0.0000 0.5000 x3

## Properties
E_form (uncorrected): -0.157 eV per atom
ΔE to the lowest computed polymorph: 0 meV/atom
density: 5.755 Mg/m³
E_tot: -3.574 eV per atom


BaLiTl6: optimized geometry, PBE.

Lattice parameters (Å, degrees): 5.1386 5.1386 9.6109 90.00 90.00 90.00
Space group P4/mmm (No. 123)
Asymmetric unit:
Ba: 0.0000 0.0000 0.0000 x1
Li: 0.0000 0.0000 0.5000 x1
Tl: 0.0000 0.5000 0.3362 x4
Tl: 0.5000 0.5000 0.1529 x2

## Properties
density: 8.968 Mg/m³
E_tot: -2.376 eV per atom
calculated formation energy: -0.122 eV/atom


Pm3Zn8Pt3: optimized geometry, PBE.

Lattice parameters (Å, degrees): 4.2298 9.4154 13.1579 90.00 90.00 90.00
Space group Immm (No. 71)
Asymmetric unit:
Pm: 0.0000 0.0000 0.0000 x2
Pm: 0.0000 0.0000 0.3290 x4
Zn: 0.0000 0.2769 0.1234 x8
Zn: 0.0000 0.3624 0.3187 x8
Pt: 0.0000 0.2396 0.5000 x4
Pt: 0.0000 0.5000 0.0000 x2

## Properties
density: 9.782 Mg/m³
E_tot: -3.631 eV per atom
calculated formation energy: -0.591 eV/atom


CeYCoNi: optimized geometry, PBE.

Lattice parameters (Å, degrees): 6.7642 6.7642 6.7642 90.00 90.00 90.00
Space group F-43m (No. 216)
Asymmetric unit:
Ce: 0.0000 0.0000 0.0000 x4
Y: 0.0000 0.0000 0.5000 x4
Co: 0.2500 0.2500 0.7500 x4
Ni: 0.2500 0.2500 0.2500 x4

## Properties
density: 7.440 Mg/m³
E_tot: -6.509 eV per atom
calculated formation energy: -0.187 eV/atom


PuCuNiAs2: optimized geometry, PBE.

Lattice parameters (Å, degrees): 5.3007 12.7619 5.2335 90.00 90.00 90.00
Space group Cmme (No. 67)
Asymmetric unit:
Pu: 0.0000 0.2500 0.2233 x4
Cu: 0.0000 0.0000 0.0000 x4
Ni: 0.2500 0.0000 0.5000 x4
As: 0.0000 0.1346 0.7026 x8

## Properties
density: 9.682 Mg/m³
E_tot: -7.048 eV per atom
calculated formation energy: -0.346 eV/atom


BeSb2Au: optimized geometry, PBE.

Lattice parameters (Å, degrees): 3.2532 3.9900 7.0990 106.20 102.04 90.09
Space group P-1 (No. 2)
Asymmetric unit:
Be: 0.0000 0.0000 0.0000 x1
Sb: 0.3613 0.8453 0.6859 x2
Au: 0.5000 0.5000 0.0000 x1

## Properties
E_form (uncorrected): 0.121 eV per atom
density: 8.642 Mg/m³
E_tot: -3.691 eV per atom


CePm3Sm4Se8: optimized geometry, PBE.

Lattice parameters (Å, degrees): 8.3712 8.3712 20.4994 90.00 90.00 120.00
Space group R-3m (No. 166, hexagonal axes)
Asymmetric unit:
Ce: 0.0000 0.0000 0.0000 x3
Pm: 0.0000 0.5000 0.0000 x9
Sm: 0.0000 0.0000 0.5000 x3
Sm: 0.0000 0.5000 0.5000 x9
Se: 0.0000 0.0000 0.2493 x6
Se: 0.0005 0.5003 0.7506 x18

## Properties
E_form (uncorrected): -1.826 eV per atom
density: 7.242 Mg/m³
E_tot: -6.009 eV per atom


TiSnO2: optimized geometry, PBE.

Lattice parameters (Å, degrees): 3.3961 3.3961 19.7499 90.00 90.00 120.00
Space group R-3m (No. 166, hexagonal axes)
Asymmetric unit:
Ti: 0.0000 0.0000 0.0000 x3
Sn: 0.0000 0.0000 0.5000 x3
O: 0.0000 0.0000 0.0941 x6

## Properties
E_form (uncorrected): -1.246 eV per atom
density: 5.015 Mg/m³
E_tot: -6.699 eV per atom